# 1
## Mn5Os3 (PBE-GGA)

Data for crystalline Mn5Os3 at its relaxed geometry.

CIF file:
```
data_Mn5Os3
_symmetry_space_group_name_H-M 'C m c m'
_symmetry_Int_Tables_number 63
_symmetry_space_group_name_Hall '-C 2c 2'
_cell_length_a 15.425
_cell_length_b 5.968
_cell_length_c 4.621
_cell_angle_alpha 90.00
_cell_angle_beta 90.00
_cell_angle_gamma 90.00
loop_
_atom_site_label
_atom_site_fract_x
_atom_site_fract_y
_atom_site_fract_z
Mn1 0.000 0.147 0.250
Mn2 0.126 0.138 0.750
Mn3 0.141 0.500 0.000
Os1 0.000 0.390 0.750
Os2 0.216 0.189 0.250
```

Calculated values
Mass density, g/cm³: 13.200
Polymorph energy (0 for the lowest one), eV per formula unit: 1.35
Energy of formation from the pure elements, eV/atom: 0.204

***

# 2
## MnOs2 (PBE-GGA)

Data for crystalline MnOs2 at its relaxed geometry.

CIF file:
```
data_MnOs2
_symmetry_space_group_name_H-M 'I 41/a m d'
_symmetry_Int_Tables_number 141
_cell_length_a 2.705
_cell_length_b 2.705
_cell_length_c 22.528
_cell_angle_alpha 90.00
_cell_angle_beta 90.00
_cell_angle_gamma 90.00
loop_
_symmetry_equiv_pos_as_xyz
'x,y,z'
'-x,-y,-z'
'-y+1/4,x+3/4,z+1/4'
'y+1/4,-x+3/4,-z+1/4'
'-x+1/2,-y,z+1/2'
'x+1/2,y,-z+1/2'
'y+1/4,-x+1/4,z+3/4'
'-y+1/4,x+1/4,-z+3/4'
'x,-y,-z'
'-x,y,z'
'-y+1/4,-x+1/4,-z+3/4'
'y+1/4,x+1/4,z+3/4'
'-x+1/2,y,-z+1/2'
'x+1/2,-y,z+1/2'
'y+1/4,x+3/4,-z+1/4'
'-y+1/4,-x+3/4,z+1/4'
'x+1/2,y+1/2,z+1/2'
'-x+1/2,-y+1/2,-z+1/2'
'-y+3/4,x+1/4,z+3/4'
'y+3/4,-x+1/4,-z+3/4'
'-x,-y+1/2,z'
'x,y+1/2,-z'
'y+3/4,-x+3/4,z+1/4'
'-y+3/4,x+3/4,-z+1/4'
'x+1/2,-y+1/2,-z+1/2'
'-x+1/2,y+1/2,z+1/2'
'-y+3/4,-x+3/4,-z+1/4'
'y+3/4,x+3/4,z+1/4'
'-x,y+1/2,-z'
'x,-y+1/2,z'
'y+3/4,x+1/4,-z+3/4'
'-y+3/4,-x+1/4,z+3/4'
loop_
_atom_site_label
_atom_site_fract_x
_atom_site_fract_y
_atom_site_fract_z
Mn1 0.000 0.250 0.375
Os1 0.000 0.250 0.800
```

Calculated values
Mass density, g/cm³: 17.548
Energy of formation from the pure elements, eV/atom: 0.314

***

# 3
## MnOs8 (PBE-GGA)

Data for crystalline MnOs8 at its relaxed geometry.

CIF file:
```
data_MnOs8
_symmetry_space_group_name_H-M 'I 4/m m m'
_symmetry_Int_Tables_number 139
_symmetry_space_group_name_Hall '-I 4 2'
_cell_length_a 8.145
_cell_length_b 8.145
_cell_length_c 3.831
_cell_angle_alpha 90.00
_cell_angle_beta 90.00
_cell_angle_gamma 90.00
loop_
_atom_site_label
_atom_site_fract_x
_atom_site_fract_y
_atom_site_fract_z
Mn1 0.000 0.000 0.000
Os1 0.000 0.332 0.000
Os2 0.166 0.166 0.500
```

Calculated values
Mass density, g/cm³: 20.608
Energy of formation from the pure elements, eV/atom: 0.126

***

> energy of formation from the pure elements of number 3 (MnOs8)?

0.126 eV/atom